{"formula": "Eu3V5O12", "functional": "GGA+U", "state": "optimized geometry", "lattice": [[-3.508, -8.611, 6.057], [10.566, -1.629, -2.975], [-0.760, 9.301, 6.006]], "species": ["O", "O", "O", "O", "O", "O", "O", "O", "O", "O", "O", "O", "O", "O", "O", "O", "O", "O", "O", "O", "O", "O", "O", "O", "O", "O", "O", "O", "O", "O", "O", "O", "O", "O", "O", "O", "O", "O", "O", "O", "O", "O", "O", "O", "O", "O", "O", "O", "Eu", "Eu", "Eu", "Eu", "Eu", "Eu", "Eu", "Eu", "Eu", "Eu", "Eu", "Eu", "V", "V", "V", "V", "V", "V", "V", "V", "V", "V", "V", "V", "V", "V", "V", "V", "V", "V", "V", "V"], "fractional_positions": [[0.203, 0.518, 0.620], [0.120, 0.417, 0.102], [0.816, 0.898, 0.018], [0.083, 0.184, 0.203], [0.602, 0.620, 0.417], [0.620, 0.018, 0.203], [0.797, 0.316, 0.917], [0.982, 0.602, 0.184], [0.120, 0.703, 0.518], [0.380, 0.982, 0.797], [0.316, 0.518, 0.398], [0.583, 0.880, 0.398], [0.102, 0.917, 0.120], [0.184, 0.083, 0.703], [0.602, 0.982, 0.684], [0.018, 0.398, 0.816], [0.482, 0.684, 0.102], [0.083, 0.898, 0.380], [0.880, 0.297, 0.482], [0.316, 0.797, 0.417], [0.703, 0.120, 0.018], [0.203, 0.684, 0.083], [0.380, 0.398, 0.083], [0.583, 0.703, 0.684], [0.982, 0.380, 0.297], [0.398, 0.018, 0.316], [0.297, 0.417, 0.816], [0.684, 0.203, 0.583], [0.898, 0.083, 0.880], [0.917, 0.102, 0.620], [0.398, 0.380, 0.583], [0.417, 0.297, 0.316], [0.518, 0.316, 0.898], [0.880, 0.583, 0.898], [0.917, 0.816, 0.797], [0.797, 0.482, 0.380], [0.102, 0.184, 0.482], [0.898, 0.816, 0.518], [0.018, 0.620, 0.703], [0.417, 0.120, 0.602], [0.703, 0.583, 0.184], [0.184, 0.102, 0.982], [0.620, 0.602, 0.917], [0.297, 0.880, 0.982], [0.518, 0.203, 0.120], [0.482, 0.797, 0.880], [0.816, 0.917, 0.297], [0.684, 0.482, 0.602], [0.625, 0.250, 0.375], [0.750, 0.375, 0.125], [0.625, 0.375, 0.750], [0.250, 0.125, 0.375], [0.375, 0.750, 0.625], [0.875, 0.750, 0.125], [0.125, 0.875, 0.750], [0.125, 0.250, 0.875], [0.875, 0.125, 0.250], [0.375, 0.625, 0.250], [0.750, 0.875, 0.625], [0.250, 0.625, 0.875], [0.625, 0.750, 0.875], [0.125, 0.750, 0.375], [0.750, 0.125, 0.875], [0.375, 0.125, 0.750], [0.000, 0.000, 0.000], [0.000, 0.500, 0.000], [0.250, 0.875, 0.125], [0.125, 0.375, 0.250], [0.000, 0.000, 0.500], [0.500, 0.000, 0.500], [0.750, 0.625, 0.375], [0.500, 0.000, 0.000], [0.500, 0.500, 0.500], [0.625, 0.875, 0.250], [0.875, 0.625, 0.750], [0.875, 0.250, 0.625], [0.000, 0.500, 0.500], [0.375, 0.250, 0.125], [0.250, 0.375, 0.625], [0.500, 0.500, 0.000]], "magnetic_moment_mub_per_fu": 28.00, "crystal_system": "cubic", "dft_energy_ev_per_atom": -8.766, "space_group": "Ia-3d"}